DFT (SCAN) results for a crystal of RbLaRh2Pb relaxed with PBEsol.

Properties
**Density**: 7.86 g cm⁻³
**Space group**: P4/mmm, No. 123
**M_tot**: 0.00 μB/f.u.
**Formation energy from the elements**: 1.260 eV/atom
**Density of states at the Fermi level**: 5.41 states/eV/cell

POSCAR file:
```
RbLaRh2Pb
1.0
-1.2477 -0.3189 -4.7053
0.6024 -4.8381 0.1681
-5.4220 -0.6237 1.4800
Rb La Rh Pb
1 1 2 1
Cartesian
0.0000 0.0000 0.0000 Rb
-3.0337 -2.8903 -1.5286 La
-0.6239 -0.1594 -2.3526 Rh
0.3012 -2.4190 0.0841 Rh
-2.7110 -0.3118 0.7400 Pb
```